[1]
18
Lattice="5.286 0.000 0.000 -2.643 4.578 0.000 0.000 0.000 9.681" Properties=species:S:1:pos:R:3 comment="AgMoPtO6, relaxed, DFT PBE with a Hubbard U" total_energy_ev_per_atom=-5.857 magnetic_moment_mub_per_cell=0.00 space_group="P-31c, No. 163" pbc="T T T"
Ag 0.000 0.000 0.000
Ag 0.000 0.000 4.840
Mo 0.000 3.052 2.420
Mo 2.643 1.526 7.261
Pt 0.000 3.052 7.261
Pt 2.643 1.526 2.420
O -0.952 1.723 1.341
O -1.627 2.892 3.500
O 0.952 1.723 3.500
O -0.675 4.541 1.341
O 1.968 0.037 6.181
O 1.016 1.686 8.340
O 1.627 2.892 1.341
O 0.675 4.541 3.500
O 3.318 0.037 8.340
O 1.691 2.855 6.181
O 4.270 1.686 6.181
O 3.595 2.855 8.340

[2]
12
Lattice="5.820 0.000 0.000 -2.910 5.040 0.000 0.000 0.000 6.660" Properties=species:S:1:pos:R:3 comment="AgMo2PtO8, relaxed, DFT PBE with a Hubbard U" total_energy_ev_per_atom=-6.215 magnetic_moment_mub_per_cell=1.01 space_group="P-3, No. 147" pbc="T T T"
Ag 0.000 0.000 0.000
Mo 0.000 3.360 5.164
Mo 2.910 1.680 1.496
Pt 0.000 0.000 3.330
O -0.063 1.614 4.625
O -1.480 4.287 4.625
O 1.367 0.861 2.036
O 0.000 3.360 0.243
O 2.910 1.680 6.417
O 1.543 4.178 4.625
O 4.390 0.753 2.036
O 2.972 3.426 2.036

[3]
18
Lattice="5.519 0.000 0.000 -2.759 4.779 0.000 0.000 0.000 9.859" Properties=species:S:1:pos:R:3 comment="PuAgMoO6, relaxed, DFT PBE with a Hubbard U" total_energy_ev_per_atom=-7.718 magnetic_moment_mub_per_cell=6.00 space_group="P-31c, No. 163" pbc="T T T"
Pu 0.000 3.186 2.465
Pu 2.759 1.593 7.394
Ag 0.000 0.000 0.000
Ag 0.000 0.000 4.930
Mo 0.000 3.186 7.394
Mo 2.759 1.593 2.465
O -0.931 1.819 6.330
O -1.650 3.063 8.458
O 0.931 1.819 8.458
O -0.718 4.676 6.330
O 2.041 0.103 1.401
O 1.110 1.716 3.529
O 1.650 3.063 6.330
O 0.718 4.676 8.458
O 3.478 0.103 3.529
O 1.828 2.960 1.401
O 4.409 1.716 1.401
O 3.690 2.960 3.529

[4]
8
Lattice="-3.029 3.029 3.900 3.029 -3.029 3.900 3.029 3.029 -3.900" Properties=species:S:1:pos:R:3 comment="RbAg2MoO4, relaxed, DFT PBE with a Hubbard U" total_energy_ev_per_atom=-5.224 magnetic_moment_mub_per_cell=0.96 space_group="I-42m, No. 121" pbc="T T T"
Rb 0.000 0.000 0.000
Ag 3.029 0.000 1.950
Ag 0.000 3.029 1.950
Mo 0.000 0.000 3.900
O 1.051 -1.051 2.755
O 1.978 1.978 1.145
O -1.051 1.051 2.755
O 1.051 1.051 5.045

[5]
16
Lattice="0.000 6.363 11.028 2.676 0.000 11.028 2.676 6.363 0.000" Properties=species:S:1:pos:R:3 comment="Rb2AgMoO4, relaxed, DFT PBE with a Hubbard U" total_energy_ev_per_atom=-5.157 magnetic_moment_mub_per_cell=1.75 space_group="Fddd, No. 70" pbc="T T T"
Rb 2.007 4.772 1.016
Rb 3.346 7.954 6.530
Rb 2.007 4.772 15.526
Rb 3.346 7.954 21.040
Ag 0.669 1.591 2.757
Ag 4.684 11.135 19.299
Mo 2.007 4.772 8.271
Mo 3.346 7.954 13.785
O 2.914 3.591 7.139
O 2.914 5.954 9.403
O 4.252 6.772 14.917
O 4.252 9.135 12.653
O 1.101 3.591 9.403
O 1.101 5.954 7.139
O 2.439 6.772 12.653
O 2.439 9.135 14.917

[6]
12
Lattice="5.785 0.000 0.000 -2.893 5.010 0.000 0.000 0.000 6.520" Properties=species:S:1:pos:R:3 comment="AgMo2RuO8, relaxed, DFT PBE with a Hubbard U" total_energy_ev_per_atom=-6.654 magnetic_moment_mub_per_cell=1.03 space_group="P-3, No. 147" pbc="T T T"
Ag 0.000 0.000 0.000
Mo 0.000 3.340 5.030
Mo 2.893 1.670 1.490
Ru 0.000 0.000 3.260
O -1.504 4.197 4.451
O 0.010 1.609 4.451
O 1.398 0.796 2.070
O 0.000 3.340 0.258
O 2.893 1.670 6.262
O 1.494 4.214 4.451
O 2.883 3.401 2.070
O 4.397 0.813 2.070

[7]
16
Lattice="4.077 -4.506 0.000 4.077 4.506 0.000 -3.570 0.000 7.048" Properties=species:S:1:pos:R:3 comment="ScAgMoO5, relaxed, DFT PBE with a Hubbard U" total_energy_ev_per_atom=-6.991 magnetic_moment_mub_per_cell=0.00 space_group="C2/c, No. 15" pbc="T T T"
Sc 0.000 0.000 0.000
Sc -1.785 0.000 3.524
Ag 1.400 1.867 5.286
Ag 3.185 -1.867 1.762
Mo 3.185 1.298 1.762
Mo 1.400 -1.298 5.286
O 1.400 4.056 5.286
O 2.384 2.361 2.966
O 3.986 2.361 0.558
O 1.969 0.245 0.944
O 0.184 -0.245 4.468
O 4.400 0.245 2.580
O 2.615 -0.245 6.104
O 0.598 -2.361 6.490
O 2.201 -2.361 4.082
O 3.185 -4.056 1.762

[8]
5
Lattice="5.191 0.000 0.000 0.000 5.191 0.000 0.000 0.000 3.801" Properties=species:S:1:pos:R:3 comment="AgMoSe2O, relaxed, DFT PBE with a Hubbard U" total_energy_ev_per_atom=-4.627 magnetic_moment_mub_per_cell=1.07 space_group="P4/mmm, No. 123" pbc="T T T"
Ag 0.000 0.000 0.000
Mo 2.596 2.596 1.901
Se 0.000 2.596 1.901
Se 2.596 0.000 1.901
O 2.596 2.596 0.000